A plane-wave DFT calculation with PBE-GGA was carried out for Ba2TmGa2O6 after structural relaxation.

Values from the calculation:
E_form (uncorrected)   -2400 meV/atom
Uncorrected energy   -6.41 eV per atom
Calculated volume   190.0 Å³/cell

a = 6.066 Å, b = 6.066 Å, c = 6.916 Å
α = 63.99°, β = 63.99°, γ = 60.00°
Site moments in Bohr magnetons follow the coordinates.
Element x y z (fractional)
Ba  0.213  0.213  0.361  0.00
Ba  0.787  0.787  0.639  0.00
O  0.759  0.759  0.241  0.07
O  0.241  0.758  0.759  0.07
O  0.241  0.241  0.759  0.07
O  0.758  0.241  0.759  0.07
O  0.759  0.242  0.241  0.07
O  0.242  0.759  0.241  0.07
Ga  0.570  0.570  0.291  0.16
Ga  0.430  0.430  0.709  0.16
Tm  0.000  0.000  0.000  0.11